K2CuTc | PBE | optimized geometry

Symmetry   P4/mmm, No. 123
D(E_F)   2.07 states/eV per cell
ΔH_f (0 K)   1.1186 eV/atom
M_tot   0.000 μB per formula unit
Relative energy among the computed polymorphs   304 meV per atom

Structure (CIF):
```
data_K2CuTc
_cell_length_a 2.823
_cell_length_b 2.823
_cell_length_c 10.949
_cell_angle_alpha 90.00
_cell_angle_beta 90.00
_cell_angle_gamma 90.00
_space_group_name_H-M_alt 'P 1'
_space_group_IT_number 1
_space_group_name_Hall 'P 1'
loop_
_atom_site_label
_atom_site_type_symbol
_atom_site_fract_x
_atom_site_fract_y
_atom_site_fract_z
Cu1 Cu 0.500 0.500 0.750
K1 K 0.000 0.000 0.997
K2 K 0.000 0.000 0.503
Tc1 Tc 0.500 0.500 0.250
```